This record from the Open Quantum Materials Database describes an optimized crystal structure of HfTlFeNi. The functional is PBE.

- raw total energy (eV per atom) = -6.2650
- theoretical density (g/cm3) = 12.4
- ΔE to the lowest computed polymorph (meV per atom) = 264
- total magnetization (μB per cell) = 2.323

Lattice parameters (Å, degrees): 4.556 4.556 4.556 60.00 60.00 60.00
Fractional positions:
1 Hf 0.000 0.000 0.000
2 Tl 0.250 0.250 0.250
3 Fe 0.750 0.750 0.750
4 Ni 0.500 0.500 0.500